(1)
{
  "formula": "Sc6ZnPd12",
  "functional": "PBE",
  "state": "relaxed",
  "lattice_angstrom": [[5.0762, 2.9307, 3.6936], [-5.0762, 2.9307, 3.6936], [0.0000, -5.8615, 3.6936]],
  "species": ["Sc", "Sc", "Sc", "Sc", "Sc", "Sc", "Zn", "Pd", "Pd", "Pd", "Pd", "Pd", "Pd", "Pd", "Pd", "Pd", "Pd", "Pd", "Pd"],
  "fractional_positions": [[0.1929, 0.7535, 0.3529], [0.2465, 0.6471, 0.8071], [0.3529, 0.1929, 0.7535], [0.6471, 0.8071, 0.2465], [0.7535, 0.3529, 0.1929], [0.8071, 0.2465, 0.6471], [0.5000, 0.5000, 0.5000], [0.0239, 0.9562, 0.7074], [0.0438, 0.2926, 0.9761], [0.1428, 0.3811, 0.4604], [0.2926, 0.9761, 0.0438], [0.3811, 0.4604, 0.1428], [0.4604, 0.1428, 0.3811], [0.5396, 0.8572, 0.6189], [0.6189, 0.5396, 0.8572], [0.7074, 0.0239, 0.9562], [0.8572, 0.6189, 0.5396], [0.9562, 0.7074, 0.0239], [0.9761, 0.0438, 0.2926]],
  "rho_g_cm3": 8.1,
  "sg": "R-3",
  "e_form_ev_per_atom": -0.720,
  "volume_a3_per_cell": 330,
  "dft_energy_ry_per_atom": -0.446,
  "m_tot_mub_per_atom": 0.000
}

(2)
{
  "formula": "Mg2FePt9",
  "functional": "PBE",
  "state": "relaxed",
  "lattice_angstrom": [[3.9474, 0.0000, 0.0000], [0.0000, 3.9474, 0.0000], [0.0000, 0.0000, 11.8213]],
  "species": ["Mg", "Mg", "Fe", "Pt", "Pt", "Pt", "Pt", "Pt", "Pt", "Pt", "Pt", "Pt"],
  "fractional_positions": [[0.0000, 0.0000, 0.1675], [0.0000, 0.0000, 0.8325], [0.0000, 0.0000, 0.5000], [0.0000, 0.5000, 0.0000], [0.0000, 0.5000, 0.3383], [0.0000, 0.5000, 0.6617], [0.5000, 0.0000, 0.0000], [0.5000, 0.0000, 0.3383], [0.5000, 0.0000, 0.6617], [0.5000, 0.5000, 0.1684], [0.5000, 0.5000, 0.5000], [0.5000, 0.5000, 0.8316]],
  "rho_g_cm3": 16.8,
  "sg": "P4/mmm",
  "e_form_ev_per_atom": -0.480,
  "volume_a3_per_cell": 184,
  "dft_energy_ry_per_atom": -0.440,
  "m_tot_mub_per_atom": 0.344
}

(3)
{
  "formula": "Fe2NiSnN",
  "functional": "PBE",
  "state": "relaxed",
  "lattice_angstrom": [[3.8867, 0.0000, 0.0000], [0.0000, 3.8867, 0.0000], [0.0000, 0.0000, 3.9321]],
  "species": ["Fe", "Fe", "Ni", "Sn", "N"],
  "fractional_positions": [[0.0000, 0.5000, 0.0000], [0.5000, 0.0000, 0.0000], [0.0000, 0.0000, 0.5000], [0.5000, 0.5000, 0.5000], [0.0000, 0.0000, 0.0000]],
  "rho_g_cm3": 8.5,
  "sg": "P4/mmm",
  "volume_a3_per_cell": 59,
  "dft_energy_ry_per_atom": -0.516,
  "m_tot_mub_per_atom": 0.758,
  "e_form_raw_kj_per_mol_fu": -6
}

(4)
{
  "formula": "RbPaIn",
  "functional": "PBE",
  "state": "relaxed",
  "lattice_angstrom": [[8.2395, -1.5796, 0.0000], [8.2395, 1.5796, 0.0000], [-1.7925, 0.0000, 8.6113]],
  "species": ["Rb", "Rb", "Pa", "Pa", "In", "In"],
  "fractional_positions": [[0.1378, 0.1378, 0.0694], [0.8622, 0.8622, 0.9306], [0.1815, 0.1815, 0.5179], [0.8185, 0.8185, 0.4821], [0.0163, 0.0163, 0.6768], [0.9837, 0.9837, 0.3232]],
  "rho_g_cm3": 6.4,
  "sg": "C2/m",
  "e_form_ev_per_atom": 0.546,
  "volume_a3_per_cell": 224,
  "dft_energy_ry_per_atom": -0.283,
  "m_tot_mub_per_atom": 0.079
}

(5)
{
  "formula": "TiNi6Mo",
  "functional": "PBE",
  "state": "relaxed",
  "lattice_angstrom": [[3.6038, 0.0000, 0.0000], [0.0000, 3.6466, 3.6721], [0.0000, -3.6466, 3.6721]],
  "species": ["Ti", "Ni", "Ni", "Ni", "Ni", "Ni", "Ni", "Mo"],
  "fractional_positions": [[0.0000, 0.0000, 0.0000], [0.0000, 0.4711, 0.4711], [0.0000, 0.4843, 0.9719], [0.0000, 0.9719, 0.4843], [0.5000, 0.2164, 0.7284], [0.5000, 0.2301, 0.2301], [0.5000, 0.7284, 0.2164], [0.5000, 0.7009, 0.7009]],
  "rho_g_cm3": 8.5,
  "sg": "Amm2",
  "e_form_ev_per_atom": -0.128,
  "volume_a3_per_cell": 97,
  "dft_energy_ry_per_atom": -0.500,
  "m_tot_mub_per_atom": 0.000
}

(6)
{
  "formula": "Sc8Cd2Sn",
  "functional": "PBE",
  "state": "relaxed",
  "lattice_angstrom": [[4.0944, -7.0109, 0.0000], [4.0944, 7.0109, 0.0000], [-2.0381, 0.0000, 4.6171]],
  "species": ["Sc", "Sc", "Sc", "Sc", "Sc", "Sc", "Sc", "Sc", "Cd", "Cd", "Sn"],
  "fractional_positions": [[0.0978, 0.3208, 0.6245], [0.2156, 0.7844, 0.0000], [0.3208, 0.0978, 0.6245], [0.4023, 0.4023, 0.2020], [0.5977, 0.5977, 0.7980], [0.6792, 0.9022, 0.3755], [0.7844, 0.2156, 0.0000], [0.9022, 0.6792, 0.3755], [0.3059, 0.6941, 0.5000], [0.6941, 0.3059, 0.5000], [0.0000, 0.0000, 0.0000]],
  "rho_g_cm3": 4.4,
  "sg": "C2/m",
  "e_form_ev_per_atom": -0.104,
  "volume_a3_per_cell": 265,
  "dft_energy_ry_per_atom": -0.385,
  "m_tot_mub_per_atom": 0.174
}

(7)
{
  "formula": "YZn2Cd2",
  "functional": "PBE",
  "state": "relaxed",
  "lattice_angstrom": [[4.3044, -2.4177, 0.0000], [4.3044, 2.4177, 0.0000], [-1.7718, 0.0000, 5.0637]],
  "species": ["Y", "Zn", "Zn", "Cd", "Cd"],
  "fractional_positions": [[0.0000, 0.0000, 0.0000], [0.3895, 0.3895, 0.2564], [0.6105, 0.6105, 0.7436], [0.2617, 0.2617, 0.6774], [0.7383, 0.7383, 0.3226]],
  "rho_g_cm3": 7.0,
  "sg": "C2/m",
  "e_form_ev_per_atom": -0.195,
  "volume_a3_per_cell": 105,
  "dft_energy_ry_per_atom": -0.174,
  "m_tot_mub_per_atom": 0.000,
  "e_above_lowest_polymorph_mev_per_atom": 42
}

(8)
{
  "formula": "Er2HfZn6",
  "functional": "PBE",
  "state": "relaxed",
  "lattice_angstrom": [[7.6454, 0.0000, 0.0000], [-3.8227, 6.6211, 0.0000], [0.0000, 0.0000, 3.3176]],
  "species": ["Er", "Er", "Hf", "Zn", "Zn", "Zn", "Zn", "Zn", "Zn"],
  "fractional_positions": [[0.3333, 0.6667, 0.0000], [0.6667, 0.3333, 0.0000], [0.0000, 0.0000, 0.0000], [0.0000, 0.3278, 0.5000], [0.0000, 0.6722, 0.5000], [0.3278, 0.0000, 0.5000], [0.3278, 0.3278, 0.5000], [0.6722, 0.0000, 0.5000], [0.6722, 0.6722, 0.5000]],
  "rho_g_cm3": 9.0,
  "sg": "P6/mmm",
  "e_form_ev_per_atom": -0.311,
  "volume_a3_per_cell": 168,
  "dft_energy_ry_per_atom": -0.241,
  "m_tot_mub_per_atom": 0.000
}

(9)
{
  "formula": "Nd2ZnIn",
  "functional": "PBE",
  "state": "relaxed",
  "lattice_angstrom": [[0.0000, 3.8035, 3.8035], [3.8035, 0.0000, 3.8035], [3.8035, 3.8035, 0.0000]],
  "species": ["Nd", "Nd", "Zn", "In"],
  "fractional_positions": [[0.2500, 0.2500, 0.2500], [0.7500, 0.7500, 0.7500], [0.0000, 0.0000, 0.0000], [0.5000, 0.5000, 0.5000]],
  "rho_g_cm3": 7.1,
  "sg": "Fm-3m",
  "e_form_ev_per_atom": -0.384,
  "volume_a3_per_cell": 110,
  "dft_energy_ry_per_atom": -0.277,
  "m_tot_mub_per_atom": 0.000
}

(10)
{
  "formula": "AcTb6Y3",
  "functional": "PBE",
  "state": "relaxed",
  "lattice_angstrom": [[4.8161, -7.7840, 0.0000], [4.8161, 7.7840, 0.0000], [0.0000, 0.0000, 9.0280]],
  "species": ["Ac", "Ac", "Tb", "Tb", "Tb", "Tb", "Tb", "Tb", "Tb", "Tb", "Tb", "Tb", "Tb", "Tb", "Y", "Y", "Y", "Y", "Y", "Y"],
  "fractional_positions": [[0.2231, 0.7769, 0.5000], [0.7769, 0.2231, 0.0000], [0.0498, 0.9502, 0.7351], [0.1767, 0.4686, 0.2417], [0.1933, 0.3087, 0.9137], [0.2877, 0.7123, 0.8743], [0.3087, 0.1933, 0.4137], [0.4686, 0.1767, 0.7417], [0.5314, 0.8233, 0.2417], [0.6913, 0.8067, 0.9137], [0.7123, 0.2877, 0.3743], [0.8067, 0.6913, 0.4137], [0.8233, 0.5314, 0.7417], [0.9502, 0.0498, 0.2351], [0.0311, 0.3143, 0.5844], [0.3143, 0.0311, 0.0844], [0.4526, 0.5474, 0.6031], [0.5474, 0.4526, 0.1031], [0.6857, 0.9689, 0.5844], [0.9689, 0.6857, 0.0844]],
  "rho_g_cm3": 7.1,
  "sg": "Cmc2_1",
  "e_form_ev_per_atom": 0.140,
  "volume_a3_per_cell": 677,
  "dft_energy_ry_per_atom": -0.367,
  "m_tot_mub_per_atom": 0.000,
  "e_above_lowest_polymorph_mev_per_atom": 0
}

(11)
{
  "formula": "NbTlHg2",
  "functional": "PBE",
  "state": "relaxed",
  "lattice_angstrom": [[1.5661, 0.9042, 11.6347], [-1.5661, 0.9042, 11.6347], [0.0000, -1.8084, 11.6347]],
  "species": ["Nb", "Tl", "Hg", "Hg"],
  "fractional_positions": [[0.0000, 0.0000, 0.0000], [0.5000, 0.5000, 0.5000], [0.0827, 0.0827, 0.0827], [0.9173, 0.9173, 0.9173]],
  "rho_g_cm3": 11.7,
  "sg": "R-3m",
  "e_form_ev_per_atom": 0.540,
  "volume_a3_per_cell": 99,
  "dft_energy_ry_per_atom": -0.200,
  "m_tot_mub_per_atom": 0.000
}

(12)
{
  "formula": "CoBr",
  "functional": "PBE",
  "state": "relaxed",
  "lattice_angstrom": [[1.6944, -7.5898, 0.0000], [1.6944, 7.5898, 0.0000], [0.0000, 0.0000, 3.3900]],
  "species": ["Co", "Co", "Br", "Br"],
  "fractional_positions": [[0.2174, 0.7826, 0.7500], [0.7826, 0.2174, 0.2500], [0.3735, 0.6265, 0.7500], [0.6265, 0.3735, 0.2500]],
  "rho_g_cm3": 5.3,
  "sg": "Cmcm",
  "volume_a3_per_cell": 87,
  "dft_energy_ry_per_atom": -0.305,
  "m_tot_mub_per_atom": 1.000,
  "e_form_raw_kj_per_mol_fu": 47,
  "e_above_lowest_polymorph_mev_per_atom": 356
}

(13)
{
  "formula": "ScCuRh",
  "functional": "PBE",
  "state": "relaxed",
  "lattice_angstrom": [[-1.6423, 1.6423, 4.3474], [1.6423, -1.6423, 4.3474], [1.6423, 1.6423, -4.3474]],
  "species": ["Sc", "Cu", "Rh"],
  "fractional_positions": [[0.0000, 0.0000, 0.0000], [0.3239, 0.3239, 0.0000], [0.6660, 0.6660, 0.0000]],
  "rho_g_cm3": 7.5,
  "sg": "I4mm",
  "e_form_ev_per_atom": -0.512,
  "volume_a3_per_cell": 47,
  "dft_energy_ry_per_atom": -0.473,
  "m_tot_mub_per_atom": 0.000,
  "e_above_lowest_polymorph_mev_per_atom": 0
}